# 1
Below is a geometry-optimized HoSc3Ag4 structure, with properties calculated at the GGA-PBE level.

As for the density of states at the Fermi level: 5.45 states/eV/cell. The volume comes out at 168.6 Å³ per cell. The total magnetic moment comes out at 0.000 μB/atom. The energy of formation from the pure elements is -0.28 eV per atom. The calculation puts the calculated density at 7200 kg/m3.

The space group is P4/mmm (No. 123) and the conventional cell measures 3.4836, 3.4836 and 13.8967 Å, with angles of 90.00, 90.00 and 90.00 degrees. The asymmetric unit holds Ho at (0.0000, 0.0000, 0.0000), Sc at (0.0000, 0.0000, 0.2573), Sc at (0.0000, 0.0000, 0.5000), Ag at (0.5000, 0.5000, 0.1394) and Ag at (0.5000, 0.5000, 0.3786).

***

# 2
Below is a geometry-optimized HoSc2Ag structure, with properties calculated at the GGA-PBE level.

As for the density of states at the Fermi level: 18.35 states/eV/cell. Its energy above the lowest structure with this stoichiometry is 0 meV/atom. The volume comes out at 388.5 Å³ per cell. The total magnetic moment comes out at 0.000 μB/atom. The energy of formation from the pure elements is -0.11 eV per atom. The calculation puts the calculated density at 6202 kg/m3.

The space group is Pnma (No. 62) and the conventional cell measures 6.2919, 9.9859 and 6.1830 Å, with angles of 90.00, 90.00 and 90.00 degrees. The asymmetric unit holds Ho at (0.0192, 0.2500, 0.0984), Sc at (0.1801, 0.5308, 0.3162) and Ag at (0.0854, 0.2500, 0.5765).

***

# 3
Below is a geometry-optimized HoSc2Ag3 structure, with properties calculated at the GGA-PBE level.

As for the density of states at the Fermi level: 2.63 states/eV/cell. The volume comes out at 128.1 Å³ per cell. The total magnetic moment comes out at 0.000 μB/atom. The energy of formation from the pure elements is -0.29 eV per atom. The calculation puts the calculated density at 7498 kg/m3.

The space group is P4/mmm (No. 123) and the conventional cell measures 3.4721, 3.4721 and 10.6265 Å, with angles of 90.00, 90.00 and 90.00 degrees. The asymmetric unit holds Ho at (0.0000, 0.0000, 0.0000), Sc at (0.0000, 0.0000, 0.3392), Ag at (0.5000, 0.5000, 0.1835) and Ag at (0.5000, 0.5000, 0.5000).

***

# 4
Below is a geometry-optimized HoSc3Ag2 structure, with properties calculated at the GGA-PBE level.

As for the density of states at the Fermi level: 13.57 states/eV/cell. The volume comes out at 277.0 Å³ per cell. The total magnetic moment comes out at 0.000 μB/atom. The energy of formation from the pure elements is -0.18 eV per atom. The calculation puts the calculated density at 6181 kg/m3.

The space group is Pmc2_1 (No. 26) and the conventional cell measures 4.8046, 8.6306 and 6.6802 Å, with angles of 90.00, 90.00 and 90.00 degrees. The asymmetric unit holds Ho at (0.0000, 0.0615, 0.0000), Sc at (0.0000, 0.3305, 0.6353), Sc at (0.5000, 0.1826, 0.3274), Sc at (0.5000, 0.4414, 0.9613), Ag at (0.0000, 0.3562, 0.2228) and Ag at (0.5000, 0.1509, 0.7394).

***

# 5
Below is a geometry-optimized HoScAg2 structure, with properties calculated at the GGA-PBE level.

As for the density of states at the Fermi level: 11.48 states/eV/cell. Its energy above the lowest structure with this stoichiometry is 10 meV/atom. The volume comes out at 353.2 Å³ per cell. The total magnetic moment comes out at 0.000 μB/atom. The energy of formation from the pure elements is -0.28 eV per atom. The calculation puts the calculated density at 8003 kg/m3.

The space group is Fm-3m (No. 225) and the conventional cell measures 7.0689, 7.0689 and 7.0689 Å, with angles of 90.00, 90.00 and 90.00 degrees. The asymmetric unit holds Ho at (0.0000, 0.0000, 0.0000), Sc at (0.0000, 0.0000, 0.5000) and Ag at (0.2500, 0.2500, 0.2500).

***

# 6
Below is a geometry-optimized HoScAg2 structure, with properties calculated at the GGA-PBE level.

As for the density of states at the Fermi level: 2.79 states/eV/cell. Its energy above the lowest structure with this stoichiometry is 0 meV/atom. The volume comes out at 87.8 Å³ per cell. The total magnetic moment comes out at 0.000 μB/atom. The energy of formation from the pure elements is -0.29 eV per atom. The calculation puts the calculated density at 8054 kg/m3.

The space group is P4/mmm (No. 123) and the conventional cell measures 3.5103, 3.5103 and 7.1216 Å, with angles of 90.00, 90.00 and 90.00 degrees. The asymmetric unit holds Ho at (0.0000, 0.0000, 0.0000), Sc at (0.0000, 0.0000, 0.5000) and Ag at (0.5000, 0.5000, 0.2715).

***

# 7
Below is a geometry-optimized HoSc2Ag6 structure, with properties calculated at the GGA-PBE level.

As for the density of states at the Fermi level: 9.61 states/eV/cell. The volume comes out at 360.5 Å³ per cell. The total magnetic moment comes out at 0.000 μB/atom. The energy of formation from the pure elements is -0.23 eV per atom. The calculation puts the calculated density at 8310 kg/m3.

The space group is C2/m (No. 12) and the conventional cell measures 5.1522, 15.4750 and 5.1984 Å, with angles of 90.00, 119.57 and 90.00 degrees. The asymmetric unit holds Ho at (0.0000, 0.0000, 0.0000), Sc at (0.0000, 0.1659, 0.5000), Ag at (0.1609, 0.3309, 0.8316) and Ag at (0.1678, 0.5000, 0.3279).

***

# 8
Below is a geometry-optimized Ho5Sc4Ag structure, with properties calculated at the GGA-PBE level.

As for the density of states at the Fermi level: 15.35 states/eV/cell. The volume comes out at 270.5 Å³ per cell. The total magnetic moment comes out at 0.000 μB/atom. The energy of formation from the pure elements is -0.01 eV per atom. The calculation puts the calculated density at 6829 kg/m3.

The space group is P4/mmm (No. 123) and the conventional cell measures 3.4542, 3.4542 and 22.6687 Å, with angles of 90.00, 90.00 and 90.00 degrees. The asymmetric unit holds Ho at (0.0000, 0.0000, 0.0000), Ho at (0.0000, 0.0000, 0.2061), Ho at (0.0000, 0.0000, 0.4130), Sc at (0.5000, 0.5000, 0.1029), Sc at (0.5000, 0.5000, 0.3084) and Ag at (0.5000, 0.5000, 0.5000).

***

# 9
Below is a geometry-optimized Ho2ScAg6 structure, with properties calculated at the GGA-PBE level.

As for the density of states at the Fermi level: 9.71 states/eV/cell. The volume comes out at 376.6 Å³ per cell. The total magnetic moment comes out at 0.000 μB/atom. The energy of formation from the pure elements is -0.24 eV per atom. The calculation puts the calculated density at 9012 kg/m3.

The space group is C2/m (No. 12) and the conventional cell measures 5.2308, 15.8478 and 5.2224 Å, with angles of 90.00, 119.54 and 90.00 degrees. The asymmetric unit holds Ho at (0.0000, 0.1641, 0.0000), Sc at (0.0000, 0.0000, 0.5000), Ag at (0.1595, 0.5000, 0.8227) and Ag at (0.1692, 0.3366, 0.3365).

***

# 10
Below is a geometry-optimized HoSc2Ag structure, with properties calculated at the GGA-PBE level.

As for the density of states at the Fermi level: 19.70 states/eV/cell. Its energy above the lowest structure with this stoichiometry is 134 meV/atom. The volume comes out at 297.4 Å³ per cell. The total magnetic moment comes out at 0.146 μB/atom. The energy of formation from the pure elements is 0.03 eV per atom. The calculation puts the calculated density at 6075 kg/m3.

The space group is R3m (No. 160, hexagonal axes) and the conventional cell measures 3.4074, 3.4074 and 29.5823 Å, with angles of 90.00, 90.00 and 120.00 degrees. The asymmetric unit holds Ho at (0.0000, 0.0000, 0.0000), Sc at (0.0000, 0.0000, 0.5739), Sc at (0.0000, 0.0000, 0.7581) and Ag at (0.0000, 0.0000, 0.1654).

***

# 11
Below is a geometry-optimized Ho4ScAg3 structure, with properties calculated at the GGA-PBE level.

As for the density of states at the Fermi level: 6.90 states/eV/cell. The volume comes out at 196.6 Å³ per cell. The total magnetic moment comes out at 0.000 μB/atom. The energy of formation from the pure elements is -0.19 eV per atom. The calculation puts the calculated density at 8684 kg/m3.

The space group is Pmmm (No. 47) and the conventional cell measures 3.6163, 5.1887 and 10.4785 Å, with angles of 90.00, 90.00 and 90.00 degrees. The asymmetric unit holds Ho at (0.0000, 0.0000, 0.0000), Ho at (0.0000, 0.0000, 0.5000), Ho at (0.0000, 0.5000, 0.2393), Sc at (0.5000, 0.5000, 0.5000), Ag at (0.5000, 0.0000, 0.2587) and Ag at (0.5000, 0.5000, 0.0000).

***

# 12
Below is a geometry-optimized Ho6ScAg structure, with properties calculated at the GGA-PBE level.

As for the density of states at the Fermi level: 38.77 states/eV/cell. The volume comes out at 693.7 Å³ per cell. The total magnetic moment comes out at 0.000 μB/atom. The energy of formation from the pure elements is 0.06 eV per atom. The calculation puts the calculated density at 8204 kg/m3.

The space group is R-3 (No. 148, hexagonal axes) and the conventional cell measures 9.0845, 9.0845 and 9.7042 Å, with angles of 90.00, 90.00 and 120.00 degrees. The asymmetric unit holds Ho at (0.0291, 0.7760, 0.2122), Sc at (0.0000, 0.0000, 0.5000) and Ag at (0.0000, 0.0000, 0.0000).